Material: HfSc2CuAg
Method: DFT, GGA-PBE
State: relaxed

Calculated values
- E_form (eV/atom) = 0.48
- space-group type = P4/mmm

Lattice parameters (Å, degrees): 4.8678 4.8678 4.7662 90.00 90.00 90.00
Fractional coordinates of all 5 atoms:
Hf1 0.0000 0.0000 0.0000
Sc1 0.0000 0.5000 0.5000
Sc2 0.5000 0.0000 0.5000
Cu1 0.5000 0.5000 0.5000
Ag1 0.5000 0.5000 0.0000

=====

Material: Cr3Se4
Method: DFT, GGA-PBE
State: relaxed

Calculated values
- energy above the most stable polymorph in this dataset (meV per atom) = 0
- uncorrected formation energy (eV per atom) = -0.504
- space-group type = C2/m

Lattice parameters (Å, degrees): 13.3132 3.6788 6.4374 90.00 117.22 90.00
Fractional coordinates of all 14 atoms:
Cr1 0.0000 0.0000 0.0000
Cr2 0.2380 0.5000 0.7173
Cr3 0.2620 0.0000 0.2827
Cr4 0.5000 0.5000 0.0000
Cr5 0.7380 0.0000 0.7173
Cr6 0.7620 0.5000 0.2827
Se1 0.1224 0.0000 0.4507
Se2 0.1342 0.5000 0.9772
Se3 0.3658 0.0000 0.0228
Se4 0.3776 0.5000 0.5493
Se5 0.6224 0.5000 0.4507
Se6 0.6342 0.0000 0.9772
Se7 0.8658 0.5000 0.0228
Se8 0.8776 0.0000 0.5493

=====

Material: Fe2Si5Mo4
Method: DFT, GGA-PBE
State: relaxed

Calculated values
- uncorrected formation energy (eV per atom) = -0.383
- space-group type = Ibam

Lattice parameters (Å, degrees): 8.9973 8.9973 8.9973 129.39 60.82 148.54
Fractional coordinates of all 22 atoms:
Fe1 0.0548 0.2500 0.8048
Fe2 0.4452 0.2500 0.1952
Fe3 0.5548 0.7500 0.8048
Fe4 0.9452 0.7500 0.1952
Si1 0.0712 0.0813 0.1525
Si2 0.2179 0.7038 0.9216
Si3 0.2500 0.7500 0.5000
Si4 0.2821 0.2038 0.4859
Si5 0.4288 0.5813 0.0100
Si6 0.5712 0.4187 0.9900
Si7 0.7179 0.7962 0.5141
Si8 0.7500 0.2500 0.5000
Si9 0.7821 0.2962 0.0784
Si10 0.9288 0.9187 0.8475
Mo1 0.0628 0.7554 0.8182
Mo2 0.1432 0.3850 0.5281
Mo3 0.3568 0.8850 0.2418
Mo4 0.4372 0.2554 0.6926
Mo5 0.5628 0.7446 0.3074
Mo6 0.6432 0.1150 0.7582
Mo7 0.8568 0.6150 0.4719
Mo8 0.9372 0.2446 0.1818

=====

Material: LiNbBiSe2
Method: DFT, GGA-PBE
State: relaxed

Calculated values
- uncorrected formation energy (eV per atom) = 0.536
- space-group type = P4/mmm

Lattice parameters (Å, degrees): 4.6685 4.6685 4.9040 90.00 90.00 90.00
Fractional coordinates of all 5 atoms:
Li1 0.0000 0.0000 0.0000
Nb1 0.5000 0.5000 0.5000
Bi1 0.0000 0.0000 0.5000
Se1 0.0000 0.5000 0.0000
Se2 0.5000 0.0000 0.0000

=====

Material: YGa2Pt2
Method: DFT, GGA-PBE
State: relaxed

Calculated values
- E_form (eV/atom) = -0.64
- space-group type = P4/mbm

Lattice parameters (Å, degrees): 7.5636 7.5636 3.1580 90.00 90.00 90.00
Fractional coordinates of all 10 atoms:
Y1 0.0000 0.0000 0.0000
Y2 0.5000 0.5000 0.0000
Ga1 0.1547 0.3453 0.5000
Ga2 0.3453 0.8453 0.5000
Ga3 0.6547 0.1547 0.5000
Ga4 0.8453 0.6547 0.5000
Pt1 0.1367 0.6367 0.0000
Pt2 0.3633 0.1367 0.0000
Pt3 0.6367 0.8633 0.0000
Pt4 0.8633 0.3633 0.0000

=====

Material: Nd2SmDy5Mg
Method: DFT, GGA-PBE
State: relaxed

Calculated values
- E_form (eV/atom) = 0.10
- space-group type = Cmc2_1

Lattice parameters (Å, degrees): 10.4317 10.4317 10.5605 90.00 90.00 149.54
Fractional coordinates of all 18 atoms:
Nd1 0.1153 0.8847 0.5000
Nd2 0.1155 0.8845 0.9197
Nd3 0.8847 0.1153 0.0000
Nd4 0.8845 0.1155 0.4197
Sm1 0.2045 0.7955 0.2098
Sm2 0.7955 0.2045 0.7098
Dy1 0.0131 0.9869 0.2098
Dy2 0.2892 0.7108 0.5106
Dy3 0.2899 0.7101 0.9088
Dy4 0.3838 0.6162 0.2098
Dy5 0.5003 0.4997 0.4592
Dy6 0.4997 0.5003 0.9592
Dy7 0.6162 0.3838 0.7098
Dy8 0.7101 0.2899 0.4088
Dy9 0.7108 0.2892 0.0106
Dy10 0.9869 0.0131 0.7098
Mg1 0.4058 0.5942 0.7084
Mg2 0.5942 0.4058 0.2084

=====

Material: TmZn4Au4
Method: DFT, GGA-PBE
State: relaxed

Calculated values
- E_form (eV/atom) = -0.29
- space-group type = I4/m

Lattice parameters (Å, degrees): 6.3738 6.3738 6.3738 98.13 98.13 135.82
Fractional coordinates of all 9 atoms:
Tm1 0.0000 0.0000 0.0000
Zn1 0.2806 0.3824 0.6630
Zn2 0.3824 0.7194 0.1019
Zn3 0.6176 0.2806 0.8981
Zn4 0.7194 0.6176 0.3370
Au1 0.0712 0.6581 0.7293
Au2 0.3419 0.0712 0.4130
Au3 0.6581 0.9288 0.5870
Au4 0.9288 0.3419 0.2707

=====

Material: Na3Tl2Bi
Method: DFT, GGA-PBE
State: relaxed

Calculated values
- energy above the most stable polymorph in this dataset (meV per atom) = 24
- E_form (eV/atom) = -0.15
- space-group type = C2/c

Lattice parameters (Å, degrees): 8.7622 8.7622 6.3901 92.83 92.83 46.44
Fractional coordinates of all 12 atoms:
Na1 0.1575 0.8425 0.7500
Na2 0.2346 0.4446 0.9234
Na3 0.4446 0.2346 0.4234
Na4 0.5554 0.7654 0.5766
Na5 0.7654 0.5554 0.0766
Na6 0.8425 0.1575 0.2500
Tl1 0.0635 0.2766 0.5925
Tl2 0.2766 0.0635 0.0925
Tl3 0.7234 0.9365 0.9075
Tl4 0.9365 0.7234 0.4075
Bi1 0.3201 0.6799 0.2500
Bi2 0.6799 0.3201 0.7500

=====

Number 1: magnetic moment 2.33 μB per formula unit. Number 2: magnetic moment 9.97 μB per formula unit. Number 3: magnetic moment 1.94 μB per formula unit. Number 4: magnetic moment 0.01 μB per formula unit. Number 5: magnetic moment 0.00 μB per formula unit. Number 6: magnetic moment 0.00 μB per formula unit. Number 7: magnetic moment 0.00 μB per formula unit. Number 8: magnetic moment 0.00 μB per formula unit.